First-principles (PBE-GGA) data for Fe6Te2P after structural relaxation, as listed in Alexandria.

Cell: 6.254 6.254 3.595 Å, 90.00 90.00 120.00°
Each line ends with the local moment (μB).
Element x y z (fractional)
Te (0.667, 0.333, 0.000)  -0.06
Fe (0.000, 0.764, 0.000)  0.81
Fe (0.000, 0.366, 0.500)  1.84
P (0.000, 0.000, 0.500)  -0.07
Te (0.333, 0.667, 0.000)  -0.06
Fe (0.634, 0.634, 0.500)  1.84
Fe (0.764, 0.000, 0.000)  0.81
Fe (0.236, 0.236, 0.000)  0.81
Fe (0.366, 0.000, 0.500)  1.84

Results
The space group is No. 189. The formation energy from raw total energies comes out at 0.88 eV per formula unit. For the theoretical density, the calculation gives 8.5 g cm⁻³.